[1]
Ho2Al4Ni3Au | Alexandria via LeMat-Bulk | GGA-PBE | relaxed; energy of formation from the pure elements = -605 meV/atom; space-group type = No. 115
1.0
4.035 0.000 0.000
0.000 4.035 0.000
0.000 0.000 10.534
Ho Al Ni Au
2 4 3 1
Direct
0.000 0.500 0.236
0.500 0.000 0.764
0.000 0.000 0.000
0.000 0.500 0.642
0.500 0.000 0.358
0.500 0.500 0.000
0.000 0.500 0.867
0.500 0.000 0.133
0.500 0.500 0.500
0.000 0.000 0.500


[2]
AcB2S6 | Alexandria via LeMat-Bulk | GGA-PBE | relaxed; uncorrected formation energy = -695.8 meV per atom; space-group type = No. 15
1.0
6.249 -5.462 0.000
6.249 5.462 0.000
-2.062 0.000 5.475
Ac B S
2 4 12
Direct
0.206 0.794 0.750
0.794 0.206 0.250
0.231 0.328 0.195
0.328 0.231 0.695
0.672 0.769 0.305
0.769 0.672 0.805
0.057 0.505 0.188
0.123 0.126 0.092
0.126 0.123 0.592
0.335 0.401 0.535
0.401 0.335 0.035
0.495 0.943 0.312
0.505 0.057 0.688
0.599 0.665 0.965
0.665 0.599 0.465
0.874 0.877 0.408
0.877 0.874 0.908
0.943 0.495 0.812


[3]
YSc2Tc2 | Alexandria via LeMat-Bulk | GGA-PBE | relaxed; distance to the lowest polymorph of the same formula = 2.13 kcal/mol of atoms; energy of formation from the pure elements = 100 meV/atom; space-group type = No. 139
1.0
-2.128 2.128 5.963
2.128 -2.128 5.963
2.128 2.128 -5.963
Y Sc Tc
1 2 2
Direct
0.000 0.000 0.000
0.250 0.750 0.500
0.750 0.250 0.500
0.402 0.402 0.000
0.598 0.598 0.000


[4]
PuZnH8Rh2 | Alexandria via LeMat-Bulk | GGA-PBE | relaxed; final energy = -58.072 eV for the cell shown; space-group type = No. 148
1.0
2.353 1.358 5.555
-2.353 1.358 5.555
0.000 -2.717 5.555
Pu Zn H Rh
1 1 8 2
Direct
0.000 0.000 0.000
0.500 0.500 0.500
0.106 0.395 0.843
0.157 0.894 0.605
0.307 0.307 0.307
0.395 0.843 0.106
0.605 0.157 0.894
0.693 0.693 0.693
0.843 0.106 0.395
0.894 0.605 0.157
0.204 0.204 0.204
0.796 0.796 0.796


[5]
KCuRu3 | Alexandria via LeMat-Bulk | GGA-PBE | relaxed; distance to the lowest polymorph of the same formula = 29.82 kcal/mol of atoms; energy of formation from the pure elements = 3016 meV/atom; space-group type = No. 221
1.0
4.617 0.000 0.000
0.000 4.617 0.000
0.000 0.000 4.617
K Cu Ru
1 1 3
Direct
0.000 0.000 0.000
0.500 0.500 0.500
0.000 0.000 0.500
0.000 0.500 0.000
0.500 0.000 0.000


[6]
LiTeN2 | Alexandria via LeMat-Bulk | GGA-PBE | relaxed; uncorrected formation energy = 593.5 meV per atom; space-group type = No. 166
1.0
1.664 0.961 6.075
-1.664 0.961 6.075
0.000 -1.922 6.075
Li Te N
1 1 2
Direct
0.000 0.000 0.000
0.500 0.500 0.500
0.104 0.104 0.104
0.896 0.896 0.896


[7]
Hg4AuF5 | Alexandria via LeMat-Bulk | GGA-PBE | relaxed; uncorrected formation energy = -975.5 meV per atom; space-group type = No. 12
1.0
7.018 -1.908 0.000
7.018 1.908 0.000
-2.927 0.000 7.174
Hg Au F
4 1 5
Direct
0.005 0.005 0.291
0.303 0.303 0.771
0.697 0.697 0.229
0.995 0.995 0.709
0.500 0.500 0.000
0.159 0.159 0.859
0.168 0.168 0.477
0.500 0.500 0.500
0.832 0.832 0.523
0.841 0.841 0.141


[8]
NbAs2HBr | Alexandria via LeMat-Bulk | GGA-PBE | relaxed; distance to the lowest polymorph of the same formula = 0.63 kcal/mol of atoms; space-group type = No. 123
1.0
4.021 0.000 0.000
0.000 4.021 0.000
0.000 0.000 5.153
Nb As H Br
1 2 1 1
Direct
0.000 0.000 0.000
0.000 0.500 0.500
0.500 0.000 0.500
0.500 0.500 0.500
0.500 0.500 0.000